Entry 1:
The following is a DFT calculation (GGA-PBE) of crystalline Tb4HoCd5 at its relaxed geometry.

Results
**Formation energy**: -0.32 eV per atom
**Calculated total energy**: -3.0853 eV per atom
**ρ**: 8.56 Mg/m³

a b c (Å): 3.749 3.749 18.800
angles (deg): 90.00 90.00 90.00
Space group P4/mmm (No. 123)
One atom of each set of equivalent atoms:
1 Tb 0.000 0.000 0.100 x2
2 Tb 0.000 0.000 0.301 x2
3 Ho 0.000 0.000 0.500 x1
4 Cd 0.500 0.500 0.000 x1
5 Cd 0.500 0.500 0.201 x2
6 Cd 0.500 0.500 0.402 x2

Entry 2:
The following is a DFT calculation (GGA-PBE) of crystalline K2CdH6Pd at its relaxed geometry.

Results
**Calculated total energy**: -2.9958 eV per atom
**ρ**: 3.94 Mg/m³

a b c (Å): 7.965 7.996 8.014
angles (deg): 90.00 90.00 90.00
Space group Fmmm (No. 69)
One atom of each set of equivalent atoms:
1 K 0.250 0.250 0.250 x8
2 Cd 0.000 0.000 0.000 x4
3 H 0.000 0.000 0.282 x8
4 H 0.000 0.219 0.500 x8
5 H 0.219 0.000 0.500 x8
6 Pd 0.000 0.000 0.500 x4

Entry 3:
The following is a DFT calculation (GGA-PBE) of crystalline Li2ErZn10 at its relaxed geometry.

Results
**Formation energy**: -0.18 eV per atom
**Calculated total energy**: -1.8040 eV per atom
**ρ**: 6.84 Mg/m³

a b c (Å): 5.152 12.375 12.729
angles (deg): 90.00 90.00 90.00
Space group Fmmm (No. 69)
One atom of each set of equivalent atoms:
1 Li 0.250 0.000 0.250 x8
2 Er 0.000 0.000 0.000 x4
3 Zn 0.000 0.106 0.390 x16
4 Zn 0.000 0.175 0.177 x16
5 Zn 0.250 0.250 0.000 x8

Entry 4:
The following is a DFT calculation (GGA-PBE) of crystalline Tm4TeSeS2 at its relaxed geometry.

Results
**Calculated total energy**: -5.6482 eV per atom
**E_form (uncorrected)**: -1552 meV/atom
**ρ**: 8.55 Mg/m³

a b c (Å): 8.039 11.372 8.045
angles (deg): 90.00 90.00 90.00
Space group Fmm2 (No. 42)
One atom of each set of equivalent atoms:
1 Tm 0.000 0.241 0.000 x8
2 Tm 0.249 0.000 0.750 x8
3 Te 0.000 0.000 0.499 x4
4 Se 0.000 0.000 0.000 x4
5 S 0.250 0.250 0.250 x8

Entry 5:
The following is a DFT calculation (GGA-PBE) of crystalline PmNdHoCd at its relaxed geometry.

Results
**Formation energy**: -0.04 eV per atom
**Distance to the lowest polymorph of the same formula**: 41 kJ/mol of formula units
**Calculated total energy**: -3.7978 eV per atom
**ρ**: 7.82 Mg/m³

a b c (Å): 7.837 7.837 7.837
angles (deg): 90.00 90.00 90.00
Space group F-43m (No. 216)
One atom of each set of equivalent atoms:
1 Pm 0.000 0.000 0.000 x4
2 Nd 0.000 0.000 0.500 x4
3 Ho 0.250 0.250 0.750 x4
4 Cd 0.250 0.250 0.250 x4

Entry 6:
The following is a DFT calculation (GGA-PBE) of crystalline LiYAu2 at its relaxed geometry.

Results
**Formation energy**: -0.65 eV per atom
**Distance to the lowest polymorph of the same formula**: 27 kJ/mol of formula units
**Calculated total energy**: -4.3811 eV per atom
**ρ**: 9.87 Mg/m³

a b c (Å): 3.632 4.764 4.763
angles (deg): 90.00 90.00 90.00
Space group Pmm2 (No. 25)
One atom of each set of equivalent atoms:
1 Li 0.000 0.000 0.000 x1
2 Y 0.000 0.500 0.502 x1
3 Au 0.500 0.000 0.496 x1
4 Au 0.500 0.500 0.002 x1

Entry 7:
The following is a DFT calculation (GGA-PBE) of crystalline CsVI3 at its relaxed geometry.

Results
**Distance to the lowest polymorph of the same formula**: 0 kJ/mol of formula units
**Calculated total energy**: -3.8196 eV per atom
**E_form (uncorrected)**: -895 meV/atom
**ρ**: 4.52 Mg/m³

a b c (Å): 8.2744 8.2744 6.9888
angles (deg): 90.00 90.00 120.00
Space group P6_3/mmc (No. 194)
One atom of each set of equivalent atoms:
1 Cs 0.3333 0.6667 0.2500 x2
2 V 0.0000 0.0000 0.0000 x2
3 I 0.1577 0.3155 0.7500 x6

Entry 8:
The following is a DFT calculation (GGA-PBE) of crystalline Al3CuF at its relaxed geometry.

Results
**Distance to the lowest polymorph of the same formula**: 0 kJ/mol of formula units
**Calculated total energy**: -3.6615 eV per atom
**E_form (uncorrected)**: -222 meV/atom
**ρ**: 2.92 Mg/m³

a b c (Å): 4.532 4.532 4.532
angles (deg): 90.00 90.00 90.00
Space group Pm-3m (No. 221)
One atom of each set of equivalent atoms:
1 Al 0.000 0.000 0.500 x3
2 Cu 0.000 0.000 0.000 x1
3 F 0.500 0.500 0.500 x1

Number 1: V 26.43 Å³/atom, total moment 0.40 Bohr magnetons per cell. Number 2: V 12.76 Å³/atom, total moment 0.00 Bohr magnetons per cell. Number 3: V 15.61 Å³/atom, total moment 0.00 Bohr magnetons per cell. Number 4: V 22.98 Å³/atom, total moment 0.00 Bohr magnetons per cell. Number 5: V 30.08 Å³/atom, total moment 0.00 Bohr magnetons per cell. Number 6: V 20.61 Å³/atom, total moment 0.00 Bohr magnetons per cell. Number 7: V 41.44 Å³/atom, total moment 6.00 Bohr magnetons per cell. Number 8: V 18.62 Å³/atom, total moment 0.00 Bohr magnetons per cell.